Record 1
The following is a DFT calculation (PBE) of a relaxed Pr2Sm2Se3O4 crystal.

## Properties
The polymorph energy (0 for the lowest one) is 4 meV per atom.

Lattice parameters (Å, degrees): 8.416 6.767 6.767 34.41 90.00 90.00
Fractional coordinates of all 11 atoms:
O (0.244, 0.091, 0.091)
O (0.756, 0.091, 0.091)
O (0.000, 0.591, 0.591)
O (0.500, 0.619, 0.619)
Pr (0.500, 0.017, 0.017)
Pr (0.000, 0.000, 0.000)
Se (0.000, 0.312, 0.312)
Se (0.349, 0.355, 0.355)
Se (0.651, 0.355, 0.355)
Sm (0.237, 0.683, 0.683)
Sm (0.763, 0.683, 0.683)

Record 2
The following is a DFT calculation (PBE) of a relaxed Pr2Sm2Se3O4 crystal.

## Properties
The polymorph energy (0 for the lowest one) is 0 meV per atom.

Lattice parameters (Å, degrees): 8.456 6.750 6.750 34.46 90.00 90.00
Fractional coordinates of all 11 atoms:
O (0.256, 0.086, 0.086)
O (0.744, 0.086, 0.086)
O (0.500, 0.587, 0.587)
O (0.000, 0.614, 0.614)
Pr (0.263, 0.685, 0.685)
Pr (0.737, 0.685, 0.685)
Se (0.500, 0.316, 0.316)
Se (0.148, 0.359, 0.359)
Se (0.852, 0.359, 0.359)
Sm (0.500, 0.002, 0.002)
Sm (0.000, 0.018, 0.018)

Record 3
The following is a DFT calculation (PBE) of a relaxed Pr3SmSe3O4 crystal.

## Properties
The total DFT energy (no corrections) is -79.5 eV for the cell shown.

Lattice parameters (Å, degrees): 8.491 6.776 6.776 34.56 90.00 90.00
Fractional coordinates of all 11 atoms:
O (0.241, 0.087, 0.087)
O (0.759, 0.087, 0.087)
O (0.000, 0.587, 0.587)
O (0.500, 0.616, 0.616)
Pr (0.500, 0.016, 0.016)
Pr (0.236, 0.685, 0.685)
Pr (0.764, 0.685, 0.685)
Se (0.000, 0.317, 0.317)
Se (0.351, 0.356, 0.356)
Se (0.649, 0.356, 0.356)
Sm (0.000, 0.003, 0.003)

Record 4
The following is a DFT calculation (PBE) of a relaxed Pr3SmSe3O4 crystal.

## Properties
The total DFT energy (no corrections) is -79.5 eV for the cell shown.

Lattice parameters (Å, degrees): 8.467 6.801 6.801 34.38 90.00 90.00
Fractional coordinates of all 11 atoms:
O (0.247, 0.087, 0.087)
O (0.753, 0.087, 0.087)
O (0.000, 0.589, 0.589)
O (0.500, 0.613, 0.613)
Pr (0.239, 0.685, 0.685)
Pr (0.761, 0.685, 0.685)
Pr (0.000, 0.000, 0.000)
Se (0.000, 0.312, 0.312)
Se (0.352, 0.359, 0.359)
Se (0.648, 0.359, 0.359)
Sm (0.500, 0.019, 0.019)

Record 5
The following is a DFT calculation (PBE) of a relaxed Pr2Sn2Se2O5 crystal.

## Properties
The total DFT energy (no corrections) is -71.1 eV for the cell shown.

Lattice parameters (Å, degrees): 4.026 4.026 12.659 99.11 99.11 90.01
Fractional coordinates of all 11 atoms:
O (0.897, 0.397, 0.296)
O (0.397, 0.897, 0.296)
O (0.000, 0.000, 0.500)
O (0.603, 0.103, 0.704)
O (0.103, 0.603, 0.704)
Pr (0.334, 0.334, 0.169)
Pr (0.666, 0.666, 0.831)
Se (0.794, 0.794, 0.089)
Se (0.206, 0.206, 0.911)
Sn (0.921, 0.921, 0.344)
Sn (0.079, 0.079, 0.656)

Record 6
The following is a DFT calculation (PBE) of a relaxed PrTlSeO crystal.

## Properties
The polymorph energy (0 for the lowest one) is 0 meV per atom.

Lattice parameters (Å, degrees): 5.666 5.597 13.078 90.00 111.76 90.00
Fractional coordinates of all 16 atoms:
O (0.250, 0.492, 0.000)
O (0.750, 0.492, 0.000)
O (0.750, 0.992, 0.000)
O (0.250, 0.992, 0.000)
Pr (0.087, 0.742, 0.102)
Pr (0.587, 0.242, 0.102)
Pr (0.413, 0.742, 0.898)
Pr (0.913, 0.242, 0.898)
Se (0.732, 0.740, 0.257)
Se (0.233, 0.241, 0.257)
Se (0.767, 0.741, 0.743)
Se (0.268, 0.240, 0.743)
Tl (0.901, 0.225, 0.396)
Tl (0.401, 0.726, 0.396)
Tl (0.599, 0.226, 0.604)
Tl (0.099, 0.725, 0.604)

Record 7
The following is a DFT calculation (PBE) of a relaxed PrTlSeO crystal.

## Properties
The polymorph energy (0 for the lowest one) is 279 meV per atom.

Lattice parameters (Å, degrees): 4.825 8.092 6.711 90.00 90.00 90.00
Fractional coordinates of all 8 atoms:
O (0.500, 0.092, 0.207)
O (0.500, 0.908, 0.707)
Pr (0.500, 0.861, 0.032)
Pr (0.500, 0.139, 0.532)
Se (0.000, 0.685, 0.141)
Se (0.000, 0.315, 0.641)
Tl (0.000, 0.295, 0.112)
Tl (0.000, 0.705, 0.612)

Record 8
The following is a DFT calculation (PBE) of a relaxed PrZrSe2O crystal.

## Properties
The total DFT energy (no corrections) is -71.6 eV for the cell shown.

Lattice parameters (Å, degrees): 6.403 6.403 9.041 93.18 93.18 34.79
Each line ends with the local moment (μB).
Fractional coordinates of all 10 atoms:
O (0.664, 0.664, 0.443)  0.00
O (0.336, 0.336, 0.557)  0.00
Pr (0.232, 0.232, 0.308)  0.02
Pr (0.768, 0.768, 0.692)  0.02
Se (0.649, 0.649, 0.067)  0.00
Se (0.935, 0.935, 0.288)  0.00
Se (0.065, 0.065, 0.712)  0.00
Se (0.351, 0.351, 0.933)  0.00
Zr (0.000, 0.000, 0.000)  0.32
Zr (0.500, 0.500, 0.500)  0.05

Record 9
The following is a DFT calculation (PBE) of a relaxed Pr2Si2O5 crystal.

## Properties
The polymorph energy (0 for the lowest one) is 0 meV per atom.

Lattice parameters (Å, degrees): 6.947 3.944 3.944 90.00 90.00 90.00
Fractional coordinates of all 9 atoms:
O (0.251, 0.500, 0.000)
O (0.749, 0.500, 0.000)
O (0.251, 0.000, 0.500)
O (0.749, 0.000, 0.500)
O (0.500, 0.500, 0.500)
Pr (0.000, 0.000, 0.000)
Pr (0.500, 0.000, 0.000)
Si (0.241, 0.500, 0.500)
Si (0.759, 0.500, 0.500)

Record 10
The following is a DFT calculation (PBE) of a relaxed Pr4SiO3 crystal.

## Properties
The total DFT energy (no corrections) is -55.7 eV for the cell shown.

Lattice parameters (Å, degrees): 6.537 6.537 6.537 131.26 131.26 71.41
Fractional coordinates of all 8 atoms:
O (0.500, 0.500, 0.000)
O (0.750, 0.250, 0.500)
O (0.250, 0.750, 0.500)
Pr (0.266, 0.266, 0.000)
Pr (0.734, 0.734, 0.000)
Pr (0.500, 0.000, 0.500)
Pr (0.000, 0.500, 0.500)
Si (0.000, 0.000, 0.000)

Record 11
The following is a DFT calculation (PBE) of a relaxed Pr2Si2O5 crystal.

## Properties
The polymorph energy (0 for the lowest one) is 518 meV per atom.

Lattice parameters (Å, degrees): 9.992 3.534 3.534 90.00 90.00 90.00
Fractional coordinates of all 9 atoms:
O (0.113, 0.500, 0.000)
O (0.887, 0.500, 0.000)
O (0.113, 0.000, 0.500)
O (0.887, 0.000, 0.500)
O (0.500, 0.500, 0.500)
Pr (0.256, 0.500, 0.500)
Pr (0.744, 0.500, 0.500)
Si (0.000, 0.000, 0.000)
Si (0.500, 0.000, 0.000)

Record 12
The following is a DFT calculation (PBE) of a relaxed Pr2SiTeO4 crystal.

## Properties
The polymorph energy (0 for the lowest one) is 0 meV per atom.

Lattice parameters (Å, degrees): 6.354 7.254 11.237 90.00 90.00 90.00
Fractional coordinates of all 32 atoms:
O (0.268, 0.423, 0.036)
O (0.732, 0.923, 0.036)
O (0.951, 0.230, 0.115)
O (0.049, 0.730, 0.115)
O (0.951, 0.230, 0.385)
O (0.049, 0.730, 0.385)
O (0.268, 0.423, 0.464)
O (0.732, 0.923, 0.464)
O (0.268, 0.077, 0.536)
O (0.732, 0.577, 0.536)
O (0.951, 0.270, 0.615)
O (0.049, 0.770, 0.615)
O (0.951, 0.270, 0.885)
O (0.049, 0.770, 0.885)
O (0.268, 0.077, 0.964)
O (0.732, 0.577, 0.964)
Pr (0.610, 0.250, 0.000)
Pr (0.390, 0.750, 0.000)
Pr (0.113, 0.460, 0.250)
Pr (0.887, 0.960, 0.250)
Pr (0.610, 0.250, 0.500)
Pr (0.390, 0.750, 0.500)
Pr (0.113, 0.040, 0.750)
Pr (0.887, 0.540, 0.750)
Si (0.113, 0.250, 0.000)
Si (0.887, 0.750, 0.000)
Si (0.113, 0.250, 0.500)
Si (0.887, 0.750, 0.500)
Te (0.402, 0.074, 0.250)
Te (0.598, 0.574, 0.250)
Te (0.402, 0.426, 0.750)
Te (0.598, 0.926, 0.750)

Record 13
The following is a DFT calculation (PBE) of a relaxed Pr2SiTeO4 crystal.

## Properties
The polymorph energy (0 for the lowest one) is 9 meV per atom.

Lattice parameters (Å, degrees): 9.816 6.495 8.718 90.00 86.75 90.00
Fractional coordinates of all 32 atoms:
O (0.518, 0.808, 0.080)
O (0.247, 0.857, 0.084)
O (0.626, 0.369, 0.128)
O (0.343, 0.511, 0.183)
O (0.657, 0.011, 0.317)
O (0.374, 0.869, 0.372)
O (0.753, 0.357, 0.416)
O (0.482, 0.308, 0.420)
O (0.518, 0.692, 0.580)
O (0.247, 0.643, 0.584)
O (0.626, 0.131, 0.628)
O (0.343, 0.989, 0.683)
O (0.657, 0.489, 0.817)
O (0.374, 0.631, 0.872)
O (0.753, 0.143, 0.916)
O (0.482, 0.192, 0.920)
Pr (0.851, 0.193, 0.173)
Pr (0.392, 0.152, 0.189)
Pr (0.608, 0.652, 0.311)
Pr (0.149, 0.693, 0.327)
Pr (0.851, 0.307, 0.673)
Pr (0.392, 0.348, 0.689)
Pr (0.608, 0.848, 0.811)
Pr (0.149, 0.807, 0.827)
Si (0.373, 0.689, 0.055)
Si (0.627, 0.189, 0.445)
Si (0.373, 0.811, 0.555)
Si (0.627, 0.311, 0.945)
Te (0.899, 0.712, 0.102)
Te (0.101, 0.212, 0.398)
Te (0.899, 0.788, 0.602)
Te (0.101, 0.288, 0.898)

Record 14
The following is a DFT calculation (PBE) of a relaxed PrYSi2O7 crystal.

## Properties
The total DFT energy (no corrections) is -367.1 eV for the cell shown.

Lattice parameters (Å, degrees): 5.361 8.536 13.826 90.00 112.61 90.00
Fractional coordinates of all 44 atoms:
O (0.539, 0.160, 0.044)
O (0.287, 0.428, 0.064)
O (0.093, 0.136, 0.077)
O (0.962, 0.752, 0.100)
O (0.530, 0.686, 0.171)
O (0.745, 0.424, 0.240)
O (0.713, 0.982, 0.243)
O (0.287, 0.482, 0.257)
O (0.255, 0.924, 0.260)
O (0.470, 0.186, 0.329)
O (0.038, 0.252, 0.400)
O (0.907, 0.636, 0.423)
O (0.713, 0.928, 0.436)
O (0.461, 0.660, 0.456)
O (0.539, 0.340, 0.544)
O (0.287, 0.072, 0.564)
O (0.093, 0.364, 0.577)
O (0.962, 0.748, 0.600)
O (0.530, 0.814, 0.671)
O (0.745, 0.076, 0.740)
O (0.713, 0.518, 0.743)
O (0.287, 0.018, 0.757)
O (0.255, 0.576, 0.760)
O (0.470, 0.314, 0.829)
O (0.038, 0.248, 0.900)
O (0.907, 0.864, 0.923)
O (0.713, 0.572, 0.936)
O (0.461, 0.840, 0.956)
Pr (0.979, 0.196, 0.225)
Pr (0.021, 0.696, 0.275)
Pr (0.979, 0.304, 0.725)
Pr (0.021, 0.804, 0.775)
Si (0.251, 0.249, 0.020)
Si (0.451, 0.505, 0.179)
Si (0.549, 0.005, 0.321)
Si (0.749, 0.749, 0.480)
Si (0.251, 0.251, 0.520)
Si (0.451, 0.995, 0.679)
Si (0.549, 0.495, 0.821)
Si (0.749, 0.751, 0.980)
Y (0.321, 0.897, 0.091)
Y (0.679, 0.397, 0.409)
Y (0.321, 0.603, 0.591)
Y (0.679, 0.103, 0.909)

Record 15
The following is a DFT calculation (PBE) of a relaxed PrSm2O4 crystal.

## Properties
The total DFT energy (no corrections) is -111.3 eV for the cell shown.

Lattice parameters (Å, degrees): 7.006 7.006 7.006 119.99 90.02 119.99
Fractional coordinates of all 14 atoms:
O (0.615, 0.230, 0.385)
O (0.155, 0.770, 0.385)
O (0.615, 0.770, 0.385)
O (0.135, 0.270, 0.405)
O (0.615, 0.230, 0.845)
O (0.135, 0.730, 0.865)
O (0.135, 0.270, 0.865)
O (0.595, 0.730, 0.865)
Pr (0.000, 0.000, 0.000)
Pr (0.750, 0.500, 0.250)
Sm (0.375, 0.750, 0.125)
Sm (0.375, 0.750, 0.625)
Sm (0.375, 0.250, 0.625)
Sm (0.875, 0.250, 0.625)

Record 16
The following is a DFT calculation (PBE) of a relaxed PrSm2O3 crystal.

## Properties
The total DFT energy (no corrections) is -45.5 eV for the cell shown.

Lattice parameters (Å, degrees): 3.507 3.507 8.672 90.00 90.00 120.00
Fractional coordinates of all 6 atoms:
O (0.333, 0.667, 0.185)
O (0.000, 0.000, 0.500)
O (0.667, 0.333, 0.815)
Pr (0.000, 0.000, 0.000)
Sm (0.667, 0.333, 0.335)
Sm (0.333, 0.667, 0.665)

Record 17
The following is a DFT calculation (PBE) of a relaxed PrSmO3 crystal.

## Properties
The total DFT energy (no corrections) is -76.7 eV for the cell shown.

Lattice parameters (Å, degrees): 6.168 6.168 6.168 120.33 120.33 89.43
Fractional coordinates of all 10 atoms:
O (0.250, 0.250, 0.000)
O (0.750, 0.750, 0.000)
O (0.856, 0.356, 0.212)
O (0.356, 0.144, 0.500)
O (0.644, 0.856, 0.500)
O (0.144, 0.644, 0.788)
Pr (0.000, 0.000, 0.000)
Pr (0.500, 0.500, 0.000)
Sm (0.750, 0.250, 0.500)
Sm (0.250, 0.750, 0.500)

Record 18
The following is a DFT calculation (PBE) of a relaxed PrSm2TaO6 crystal.

## Properties
The total DFT energy (no corrections) is -83.4 eV for the cell shown.

Lattice parameters (Å, degrees): 5.925 5.925 5.925 121.77 121.77 86.96
Fractional coordinates of all 10 atoms:
O (0.268, 0.268, 0.000)
O (0.732, 0.732, 0.000)
O (0.366, 0.821, 0.188)
O (0.821, 0.634, 0.455)
O (0.179, 0.366, 0.545)
O (0.634, 0.179, 0.812)
Pr (0.000, 0.000, 0.000)
Sm (0.750, 0.250, 0.500)
Sm (0.250, 0.750, 0.500)
Ta (0.500, 0.500, 0.000)